# Ac4Fe

A relaxed structure of Ac4Fe (PBE, Alexandria).

The structure in POSCAR format:
```
Ac4Fe
1.0
5.7468 0.0000 0.0000
0.0000 5.7468 0.0000
0.0000 0.0000 5.7468
Ac Fe
4 1
direct
0.0000 0.0000 0.0000
0.0000 0.5000 0.5000
0.5000 0.0000 0.5000
0.5000 0.5000 0.0000
0.5000 0.5000 0.5000
```

Output
Uncorrected energy   -4.80 eV per atom
Excess energy over the best structure of this formula in the dataset   0.072 eV per atom
ΔE_f   0.183 eV per atom
Space group   Pm-3m (221)